# TbErAl | the Open Quantum Materials Database | PBE-GGA | optimized geometry
data_TbErAl
_space_group_name_H-M_alt 'F -4 3 m'
_space_group_IT_number 216
_space_group_name_Hall 'F -4 2 3'
_cell_length_a 7.1477
_cell_length_b 7.1477
_cell_length_c 7.1477
_cell_angle_alpha 90.00
_cell_angle_beta 90.00
_cell_angle_gamma 90.00
loop_
_atom_site_label
_atom_site_type_symbol
_atom_site_fract_x
_atom_site_fract_y
_atom_site_fract_z
Tb1 Tb 0.0000 0.0000 0.0000
Er1 Er 0.2500 0.2500 0.7500
Al1 Al 0.0000 0.0000 0.5000
# mass density: 6.4 g/cm3
# calculated total energy: -3.80 eV/atom
# crystal system: cubic
# volume: 30.43 Å³ per atom